Entry 1:
First-principles (PBE-GGA) data for crystalline LaMg2W at its relaxed geometry, as listed in Alexandria via LeMat-Bulk.

Cell lengths 5.560, 5.560, 5.560 Å; angles 133.91, 133.91, 67.22 degrees
Atoms (fractional coordinates):
La  0.000  0.000  0.000
Mg  0.250  0.750  0.500
Mg  0.750  0.250  0.500
W  0.500  0.500  0.000

Properties
final energy: -19.06 eV for the cell shown
space group: I4/mmm, No. 139
E_form: 503 meV/atom


Entry 2:
First-principles (PBE-GGA) data for crystalline TbPrCo at its relaxed geometry, as listed in Alexandria via LeMat-Bulk.

Cell lengths 6.103, 6.103, 8.644 Å; angles 124.66, 124.66, 36.40 degrees
Atoms (fractional coordinates):
Tb  0.080  0.080  0.372
Tb  0.920  0.920  0.628
Pr  0.314  0.314  0.896
Pr  0.686  0.686  0.104
Co  0.378  0.378  0.367
Co  0.622  0.622  0.633

Properties
final energy: -33.52 eV for the cell shown
space group: C2/m, No. 12
E_form: -82 meV/atom


Entry 3:
First-principles (PBE-GGA) data for crystalline LaCoGe2 at its relaxed geometry, as listed in Alexandria via LeMat-Bulk.

Cell lengths 8.415, 8.415, 8.415 Å; angles 146.17, 146.17, 48.60 degrees
Atoms (fractional coordinates):
La  0.000  0.000  0.000
La  0.750  0.250  0.500
Co  0.250  0.750  0.500
Co  0.500  0.500  0.000
Ge  0.326  0.625  0.201
Ge  0.375  0.576  0.701
Ge  0.424  0.125  0.799
Ge  0.875  0.674  0.299

Properties
final energy: -45.24 eV for the cell shown
space group: I-42d, No. 122
E_form: -338 meV/atom


Entry 4:
First-principles (PBE-GGA) data for crystalline LiMgMo at its relaxed geometry, as listed in Alexandria via LeMat-Bulk.

Cell lengths 4.203, 4.203, 4.203 Å; angles 60.00, 60.00, 60.00 degrees
Atoms (fractional coordinates):
Li  0.000  0.000  0.000
Mg  0.750  0.750  0.750
Mo  0.250  0.250  0.250

Properties
final energy: -10.74 eV for the cell shown
space group: F-43m, No. 216
E_form: 1201 meV/atom


Entry 5:
First-principles (PBE-GGA) data for crystalline AcTlP2Pd4 at its relaxed geometry, as listed in Alexandria via LeMat-Bulk.

Cell lengths 4.306, 4.306, 8.514 Å; angles 90.00, 90.00, 90.00 degrees
Atoms (fractional coordinates):
Ac  0.000  0.000  0.000
Tl  0.000  0.000  0.500
P  0.500  0.500  0.140
P  0.500  0.500  0.860
Pd  0.000  0.500  0.282
Pd  0.000  0.500  0.718
Pd  0.500  0.000  0.282
Pd  0.500  0.000  0.718

Properties
final energy: -42.99 eV for the cell shown
space group: P4/mmm, No. 123
E_form: -615 meV/atom


Entry 6:
First-principles (PBE-GGA) data for crystalline HfVH4 at its relaxed geometry, as listed in Alexandria via LeMat-Bulk.

Cell lengths 4.917, 4.917, 5.215 Å; angles 104.09, 104.09, 113.05 degrees
Atoms (fractional coordinates):
Hf  0.129  0.871  0.750
Hf  0.871  0.129  0.250
V  0.479  0.521  0.750
V  0.521  0.479  0.250
H  0.088  0.234  0.668
H  0.234  0.088  0.168
H  0.276  0.588  0.452
H  0.412  0.724  0.048
H  0.588  0.276  0.952
H  0.724  0.412  0.548
H  0.766  0.912  0.832
H  0.912  0.766  0.332

Properties
final energy: -67.25 eV for the cell shown
space group: C2/c, No. 15


Entry 7:
First-principles (PBE-GGA) data for crystalline Zr5Cu4Ir at its relaxed geometry, as listed in Alexandria via LeMat-Bulk.

Cell lengths 3.307, 3.307, 16.233 Å; angles 90.00, 90.00, 90.00 degrees
Atoms (fractional coordinates):
Zr  0.000  0.000  0.000
Zr  0.000  0.000  0.201
Zr  0.000  0.000  0.400
Zr  0.000  0.000  0.600
Zr  0.000  0.000  0.799
Cu  0.500  0.500  0.101
Cu  0.500  0.500  0.298
Cu  0.500  0.500  0.702
Cu  0.500  0.500  0.899
Ir  0.500  0.500  0.500

Properties
final energy: -70.52 eV for the cell shown
space group: P4/mmm, No. 123
E_form: -254 meV/atom


Entry 8:
First-principles (PBE-GGA) data for crystalline ScNiP2Cl at its relaxed geometry, as listed in Alexandria via LeMat-Bulk.

Cell lengths 4.381, 4.381, 4.713 Å; angles 90.00, 90.00, 90.00 degrees
Atoms (fractional coordinates):
Sc  0.000  0.000  0.000
Ni  0.500  0.500  0.500
P  0.000  0.500  0.500
P  0.500  0.000  0.500
Cl  0.500  0.500  0.000

Properties
final energy: -25.43 eV for the cell shown
ΔE_f (raw): -0.130 eV per atom
space group: P4/mmm, No. 123


Entry 9:
First-principles (PBE-GGA) data for crystalline Sr2CaMg12Ag3 at its relaxed geometry, as listed in Alexandria via LeMat-Bulk.

Cell lengths 9.102, 9.102, 9.102 Å; angles 60.16, 60.16, 60.16 degrees
Atoms (fractional coordinates):
Sr  0.085  0.085  0.085
Sr  0.915  0.915  0.915
Ca  0.500  0.500  0.500
Mg  0.039  0.664  0.664
Mg  0.253  0.253  0.639
Mg  0.253  0.639  0.253
Mg  0.336  0.336  0.961
Mg  0.336  0.961  0.336
Mg  0.361  0.747  0.747
Mg  0.639  0.253  0.253
Mg  0.664  0.039  0.664
Mg  0.664  0.664  0.039
Mg  0.747  0.361  0.747
Mg  0.747  0.747  0.361
Mg  0.961  0.336  0.336
Ag  0.000  0.500  0.500
Ag  0.500  0.000  0.500
Ag  0.500  0.500  0.000

Properties
final energy: -30.27 eV for the cell shown
space group: R-3m, No. 166
E_form: 155 meV/atom


Entry 10:
First-principles (PBE-GGA) data for crystalline FeCoMo2 at its relaxed geometry, as listed in Alexandria via LeMat-Bulk.

Cell lengths 4.866, 4.866, 2.619 Å; angles 97.72, 97.72, 115.15 degrees
Atoms (fractional coordinates):
Fe  0.000  0.000  0.000
Co  0.500  0.500  0.000
Mo  0.000  0.500  0.500
Mo  0.500  0.000  0.500

Properties
final energy: -36.55 eV for the cell shown
space group: C2/m, No. 12
E_form: 169 meV/atom


Entry 11:
First-principles (PBE-GGA) data for crystalline Be4FeRh5 at its relaxed geometry, as listed in Alexandria via LeMat-Bulk.

Cell lengths 2.808, 2.808, 14.360 Å; angles 90.00, 90.00, 90.00 degrees
Atoms (fractional coordinates):
Be  0.000  0.000  0.096
Be  0.000  0.000  0.287
Be  0.000  0.000  0.713
Be  0.000  0.000  0.904
Fe  0.000  0.000  0.500
Rh  0.500  0.500  0.000
Rh  0.500  0.500  0.193
Rh  0.500  0.500  0.385
Rh  0.500  0.500  0.615
Rh  0.500  0.500  0.807

Properties
final energy: -65.16 eV for the cell shown
space group: P4/mmm, No. 123
E_form: -503 meV/atom


Entry 12:
First-principles (PBE-GGA) data for crystalline KCa2Nb3O10 at its relaxed geometry, as listed in Alexandria via LeMat-Bulk.

Cell lengths 7.855, 7.802, 15.153 Å; angles 90.00, 97.32, 90.00 degrees
Atoms (fractional coordinates):
K  0.128  0.250  0.009
K  0.366  0.750  0.981
K  0.634  0.250  0.019
K  0.872  0.750  0.991
Ca  0.216  0.250  0.355
Ca  0.217  0.750  0.362
Ca  0.288  0.750  0.653
Ca  0.290  0.250  0.660
Ca  0.710  0.750  0.340
Ca  0.712  0.250  0.347
Ca  0.783  0.250  0.638
Ca  0.784  0.750  0.645
Nb  0.000  0.000  0.500
Nb  0.000  0.500  0.500
Nb  0.067  0.504  0.786
Nb  0.067  0.996  0.786
Nb  0.427  0.003  0.213
Nb  0.427  0.497  0.213
Nb  0.500  0.000  0.500
Nb  0.500  0.500  0.500
Nb  0.573  0.503  0.787
Nb  0.573  0.997  0.787
Nb  0.933  0.004  0.214
Nb  0.933  0.496  0.214
O  0.044  0.750  0.737
O  0.052  0.053  0.628
O  0.052  0.447  0.628
O  0.069  0.750  0.525
O  0.084  0.545  0.903
O  0.084  0.955  0.903
O  0.092  0.250  0.786
O  0.190  0.516  0.253
O  0.190  0.984  0.253
O  0.245  0.054  0.479
O  0.245  0.446  0.479
O  0.315  0.523  0.763
O  0.315  0.977  0.763
O  0.386  0.041  0.095
O  0.386  0.459  0.095
O  0.427  0.250  0.261
O  0.444  0.750  0.525
O  0.452  0.750  0.215
O  0.490  0.552  0.372
O  0.490  0.948  0.372
O  0.510  0.052  0.628
O  0.510  0.448  0.628
O  0.548  0.250  0.785
O  0.556  0.250  0.475
O  0.573  0.750  0.739
O  0.614  0.541  0.905
O  0.614  0.959  0.905
O  0.685  0.023  0.237
O  0.685  0.477  0.237
O  0.755  0.554  0.521
O  0.755  0.946  0.521
O  0.810  0.016  0.747
O  0.810  0.484  0.747
O  0.908  0.750  0.214
O  0.916  0.045  0.097
O  0.916  0.455  0.097
O  0.931  0.250  0.475
O  0.948  0.553  0.372
O  0.948  0.947  0.372
O  0.956  0.250  0.263

Properties
final energy: -514.16 eV for the cell shown
ΔE_f (raw): -2.728 eV per atom
space group: P2_1/m, No. 11